The following is a DFT calculation (PBE-GGA) of a geometry-optimized Pu6AsP5 structure.

For the density, the calculation gives 10166 kg/m3. The crystal system is monoclinic. For the density of states at the Fermi level, the calculation gives 52.95 states/eV/f.u. The calculation puts the formation energy at -1.12 eV per atom. The value obtained for the total magnetization is 59.72 Bohr magnetons per cell.

It has space group C2/m (No. 12), with a = 6.972 Å, b = 12.078 Å, c = 6.971 Å, α = 90.00°, β = 109.49° and γ = 90.00°. The distinct sites, in fractional coordinates, are Pu at (0.245, 0.000, 0.253), Pu at (0.246, 0.170, 0.747), As at (0.000, 0.500, 0.000), P at (0.000, 0.000, 0.500), P at (0.000, 0.167, 0.000) and P at (0.000, 0.336, 0.500).